Material: Sc8Cd2Ir
Method: DFT, PBE-GGA
State: optimized geometry

a = 8.5316 Å, b = 8.5316 Å, c = 8.5316 Å
α = 145.62°, β = 134.58°, γ = 58.18°
Fractional coordinates of all 11 atoms:
Sc (0.1311, 0.3693, 0.7618)
Sc (0.1863, 0.1863, 0.0000)
Sc (0.2435, 0.0000, 0.2435)
Sc (0.3926, 0.6307, 0.7618)
Sc (0.6074, 0.3693, 0.2382)
Sc (0.7565, 0.0000, 0.7565)
Sc (0.8137, 0.8137, 0.0000)
Sc (0.8689, 0.6307, 0.2382)
Cd (0.3146, 0.8146, 0.5000)
Cd (0.6854, 0.1854, 0.5000)
Ir (0.0000, 0.5000, 0.5000)

As for the formation energy: -3.1 eV per formula unit. Its total moment is 1.75 Bohr magnetons per cell. The value obtained for the uncorrected energy is -64.421 eV per cell.